i.
# PmNdCoCu GGA-PBE relaxed
data_PmNdCoCu
_space_group_name_H-M_alt 'P 1'
_space_group_IT_number 1
_cell_length_a 4.965
_cell_length_b 4.965
_cell_length_c 4.965
_cell_angle_alpha 60.00
_cell_angle_beta 60.00
_cell_angle_gamma 60.00
loop_
_space_group_symop_operation_xyz
'x,y,z'
loop_
_atom_site_label
_atom_site_type_symbol
_atom_site_fract_x
_atom_site_fract_y
_atom_site_fract_z
Pm1 Pm 0.000 0.000 0.000
Nd1 Nd 0.500 0.500 0.500
Co1 Co 0.250 0.250 0.250
Cu1 Cu 0.750 0.750 0.750
# * magnetization: 0.35 μB/cell
# * DOS(E_F): 4.33 states/eV/cell
# * V: 21.64 A^3/atom

ii.
# PmNdCoCu GGA-PBE relaxed
data_PmNdCoCu
_space_group_name_H-M_alt 'P 1'
_space_group_IT_number 1
_cell_length_a 4.337
_cell_length_b 5.618
_cell_length_c 5.618
_cell_angle_alpha 40.72
_cell_angle_beta 90.00
_cell_angle_gamma 90.00
loop_
_space_group_symop_operation_xyz
'x,y,z'
loop_
_atom_site_label
_atom_site_type_symbol
_atom_site_fract_x
_atom_site_fract_y
_atom_site_fract_z
Pm1 Pm 0.000 0.000 0.000
Nd1 Nd 0.500 0.721 0.721
Co1 Co 0.500 0.432 0.432
Cu1 Cu 0.000 0.296 0.296
# * magnetization: 0.00 μB/cell
# * DOS(E_F): 3.60 states/eV/cell
# * V: 22.33 A^3/atom

The winner here is ii, beating the second structure by 57 meV/atom.